Compound: Ho2ThPbC
Source: Alexandria via LeMat-Bulk
Functional: GGA-PBE
Structure: optimized geometry

Unit cell a=5.0583 b=4.9381 c=4.9381 alpha=90.00 beta=90.00 gamma=90.00
Fractional positions:
1 C 0.0000 0.0000 0.0000
2 Pb 0.5000 0.5000 0.5000
3 Th 0.5000 0.0000 0.0000
4 Ho 0.0000 0.5000 0.0000
5 Ho 0.0000 0.0000 0.5000

Values from the calculation:
The space group is P4/mmm (123). The energy of formation from the pure elements comes out at -0.43 eV/atom. For the energy, the calculation gives -31.6 eV for the cell shown. As for the magnetic moment: 0.00 μB/f.u.

Compound: SrBeOs
Source: Alexandria via LeMat-Bulk
Functional: GGA-PBE
Structure: optimized geometry

Unit cell a=5.7639 b=5.7639 c=3.2333 alpha=73.71 beta=73.71 gamma=32.58
Fractional positions:
1 Be 0.0655 0.0655 0.9345
2 Os 0.6082 0.6082 0.3918
3 Sr 0.3263 0.3263 0.6737

Values from the calculation:
The space group is I4mm (107). The energy of formation from the pure elements comes out at 0.27 eV/atom. For the energy, the calculation gives -15.8 eV for the cell shown. As for the magnetic moment: 0.00 μB/f.u. The excess energy over the best structure of this formula in the dataset comes out at 179.4 meV/atom.